A relaxed structure of Eu2CdAs. Source: the Alexandria database, functional GGA-PBE.

The structure belongs to space group P4/mmm (No. 123); the cell edges are 3.8704, 3.8704 and 7.4121 Å and the angles 90.00°, 90.00° and 90.00°. Symmetry generates all atoms from Eu at (0.0000, 0.0000, 0.2176), Cd at (0.5000, 0.5000, 0.5000) and As at (0.5000, 0.5000, 0.0000).

Its density is 7.3 g cm⁻³. The formation energy from the elements comes out at -17.375 kcal/mol of atoms. The value obtained for the magnetization is 13.89 μB per formula unit.

A relaxed structure of Pm6Y3In. Source: the Alexandria database, functional GGA-PBE.

The structure belongs to space group Cmc2_1 (No. 36); the cell edges are 9.8477, 20.7296 and 6.3906 Å and the angles 90.00°, 90.00° and 90.00°. Symmetry generates all atoms from Pm at (0.0000, 0.0173, 0.0000), Pm at (0.0000, 0.2872, 0.0255), Pm at (0.1834, 0.4430, 0.2512), Pm at (0.1852, 0.2827, 0.4678), Y at (0.0000, 0.4137, 0.7256), Y at (0.1682, 0.1279, 0.3220) and In at (0.0000, 0.1532, 0.7581).

Its density is 6.4 g cm⁻³. The formation energy from the elements comes out at 0.037 kcal/mol of atoms. The value obtained for the magnetization is 0.00 μB per formula unit.

A relaxed structure of Er3CuSi6Pd2. Source: the Alexandria database, functional GGA-PBE.

The structure belongs to space group P-3m1 (No. 164); the cell edges are 5.2454, 5.2454 and 9.1115 Å and the angles 90.00°, 90.00° and 120.00°. Symmetry generates all atoms from Er at (0.0000, 0.0000, 0.0000), Er at (0.3333, 0.6667, 0.5758), Cu at (0.0000, 0.0000, 0.5000), Si at (0.1657, 0.3314, 0.2817) and Pd at (0.3333, 0.6667, 0.0682).

The calculation puts the uncorrected formation energy at -5.29 eV per formula unit. Its density is 7.2 g cm⁻³. The value obtained for the magnetization is 0.00 μB per formula unit.

A relaxed structure of KCoAu2N. Source: the Alexandria database, functional GGA-PBE.

The structure belongs to space group P4/mmm (No. 123); the cell edges are 6.0415, 6.0415 and 6.2841 Å and the angles 90.00°, 90.00° and 90.00°. Symmetry generates all atoms from K at (0.0000, 0.0000, 0.0000), Co at (0.0000, 0.0000, 0.5000), Au at (0.0000, 0.5000, 0.0000) and N at (0.5000, 0.5000, 0.5000).

The calculation puts the uncorrected formation energy at 12.52 eV per formula unit. Its density is 3.7 g cm⁻³. The value obtained for the magnetization is 0.51 μB per formula unit.

A relaxed structure of Zr3TiV. Source: the Alexandria database, functional GGA-PBE.

The structure belongs to space group Pm-3m (No. 221); the cell edges are 4.8826, 4.8826 and 4.8826 Å and the angles 90.00°, 90.00° and 90.00°. Symmetry generates all atoms from Zr at (0.0000, 0.0000, 0.5000), Ti at (0.5000, 0.5000, 0.5000) and V at (0.0000, 0.0000, 0.0000).

Its density is 5.3 g cm⁻³. The formation energy from the elements comes out at 16.787 kcal/mol of atoms. The value obtained for the magnetization is 1.27 μB per formula unit.

A relaxed structure of AlSn3Mo. Source: the Alexandria database, functional GGA-PBE.

The structure belongs to space group Pm-3m (No. 221); the cell edges are 5.2657, 5.2657 and 5.2657 Å and the angles 90.00°, 90.00° and 90.00°. Symmetry generates all atoms from Al at (0.0000, 0.0000, 0.0000), Sn at (0.0000, 0.5000, 0.5000) and Mo at (0.5000, 0.5000, 0.5000).

Its density is 5.4 g cm⁻³. The formation energy from the elements comes out at 11.385 kcal/mol of atoms. The value obtained for the magnetization is 0.00 μB per formula unit.

A relaxed structure of LiPuCd2. Source: the Alexandria database, functional GGA-PBE.

The structure belongs to space group R-3m (No. 166, hexagonal axes); the cell edges are 3.1751, 3.1751 and 30.9824 Å and the angles 90.00°, 90.00° and 120.00°. Symmetry generates all atoms from Li at (0.0000, 0.0000, 0.0000), Pu at (0.0000, 0.0000, 0.5000) and Cd at (0.0000, 0.0000, 0.2579).

Its density is 8.8 g cm⁻³. The formation energy from the elements comes out at -0.430 kcal/mol of atoms. The value obtained for the magnetization is 5.74 μB per formula unit.

A relaxed structure of TcPI2O. Source: the Alexandria database, functional GGA-PBE.

The structure belongs to space group P4/mmm (No. 123); the cell edges are 5.5037, 5.5037 and 3.7300 Å and the angles 90.00°, 90.00° and 90.00°. Symmetry generates all atoms from Tc at (0.0000, 0.0000, 0.0000), P at (0.5000, 0.5000, 0.5000), I at (0.0000, 0.5000, 0.0000) and O at (0.0000, 0.0000, 0.5000).

The calculation puts the uncorrected formation energy at 1.14 eV per formula unit. Its density is 5.9 g cm⁻³. The value obtained for the magnetization is 0.00 μB per formula unit.

A relaxed structure of TbHo2Cu. Source: the Alexandria database, functional GGA-PBE.

The structure belongs to space group R3m (No. 160, hexagonal axes); the cell edges are 3.6315, 3.6315 and 28.9636 Å and the angles 90.00°, 90.00° and 120.00°. Symmetry generates all atoms from Tb at (0.0000, 0.0000, 0.0000), Ho at (0.0000, 0.0000, 0.5665), Ho at (0.0000, 0.0000, 0.7654) and Cu at (0.0000, 0.0000, 0.1655).

Its density is 8.3 g cm⁻³. The formation energy from the elements comes out at 0.606 kcal/mol of atoms. The value obtained for the magnetization is 0.00 μB per formula unit.

A relaxed structure of Pr7PbS5. Source: the Alexandria database, functional GGA-PBE.

The structure belongs to space group Cmcm (No. 63); the cell edges are 4.1768, 13.5667 and 24.7231 Å and the angles 90.00°, 90.00° and 90.00°. Symmetry generates all atoms from Pr at (0.0000, 0.0201, 0.2500), Pr at (0.0000, 0.1357, 0.5366), Pr at (0.0000, 0.3245, 0.1708), Pr at (0.0000, 0.4081, 0.6090), Pb at (0.0000, 0.2995, 0.7500), S at (0.0000, 0.0430, 0.6402), S at (0.0000, 0.2271, 0.0692) and S at (0.0000, 0.5000, 0.0000).

The calculation puts the uncorrected formation energy at -21.53 eV per formula unit. Its density is 6.4 g cm⁻³. The value obtained for the magnetization is 0.16 μB per formula unit.

A relaxed structure of Ba2DySb2S6. Source: the Alexandria database, functional GGA-PBE.

The structure belongs to space group C2/m (No. 12); the cell edges are 13.9539, 7.3244 and 7.8455 Å and the angles 90.00°, 121.90° and 90.00°. Symmetry generates all atoms from Ba at (0.2341, 0.0000, 0.2081), Dy at (0.0000, 0.0000, 0.5000), Sb at (0.0430, 0.5000, 0.2140), S at (0.0830, 0.2479, 0.8123) and S at (0.2139, 0.0000, 0.5883).

The calculation puts the uncorrected formation energy at -12.94 eV per formula unit. Its density is 4.3 g cm⁻³. The value obtained for the magnetization is 0.00 μB per formula unit.

A relaxed structure of In2WCl2. Source: the Alexandria database, functional GGA-PBE.

The structure belongs to space group I4/mmm (No. 139); the cell edges are 3.5711, 3.5711 and 18.5021 Å and the angles 90.00°, 90.00° and 90.00°. Symmetry generates all atoms from In at (0.0000, 0.0000, 0.0805), W at (0.0000, 0.0000, 0.5000) and Cl at (0.0000, 0.5000, 0.2500).

The calculation puts the uncorrected formation energy at 3.68 eV per formula unit. Its density is 6.8 g cm⁻³. The value obtained for the magnetization is 0.32 μB per formula unit.

A relaxed structure of PmZn3Cu. Source: the Alexandria database, functional GGA-PBE.

The structure belongs to space group P2_1/m (No. 11); the cell edges are 5.6498, 5.3427 and 5.9264 Å and the angles 90.00°, 90.89° and 90.00°. Symmetry generates all atoms from Pm at (0.1602, 0.2500, 0.1547), Zn at (0.0689, 0.7500, 0.3771), Zn at (0.3493, 0.0028, 0.6734) and Cu at (0.3680, 0.7500, 0.0487).

Its density is 7.5 g cm⁻³. The formation energy from the elements comes out at -5.808 kcal/mol of atoms. The value obtained for the magnetization is 0.00 μB per formula unit.

A relaxed structure of ErSc2Cu. Source: the Alexandria database, functional GGA-PBE.

The structure belongs to space group R-3m (No. 166, hexagonal axes); the cell edges are 3.3940, 3.3940 and 28.1830 Å and the angles 90.00°, 90.00° and 120.00°. Symmetry generates all atoms from Er at (0.0000, 0.0000, 0.0000), Sc at (0.0000, 0.0000, 0.2340) and Cu at (0.0000, 0.0000, 0.5000).

Its density is 5.7 g cm⁻³. The formation energy from the elements comes out at 1.343 kcal/mol of atoms. The value obtained for the magnetization is 0.00 μB per formula unit.

A relaxed structure of Rb2NbSnC. Source: the Alexandria database, functional GGA-PBE.

The structure belongs to space group P4/mmm (No. 123); the cell edges are 7.2457, 7.2457 and 4.0790 Å and the angles 90.00°, 90.00° and 90.00°. Symmetry generates all atoms from Rb at (0.0000, 0.5000, 0.0000), Nb at (0.0000, 0.0000, 0.5000), Sn at (0.5000, 0.5000, 0.0000) and C at (0.5000, 0.5000, 0.5000).

Its density is 3.1 g cm⁻³. The formation energy from the elements comes out at 39.600 kcal/mol of atoms. The value obtained for the magnetization is 4.73 μB per formula unit.

A relaxed structure of LiNb2RhS. Source: the Alexandria database, functional GGA-PBE.

The structure belongs to space group P4/mmm (No. 123); the cell edges are 4.5835, 4.5835 and 4.4084 Å and the angles 90.00°, 90.00° and 90.00°. Symmetry generates all atoms from Li at (0.0000, 0.0000, 0.0000), Nb at (0.0000, 0.5000, 0.5000), Rh at (0.5000, 0.5000, 0.0000) and S at (0.5000, 0.5000, 0.5000).

The calculation puts the uncorrected formation energy at 0.49 eV per formula unit. Its density is 5.9 g cm⁻³. The value obtained for the magnetization is 0.00 μB per formula unit.

A relaxed structure of Ti3BeTe. Source: the Alexandria database, functional GGA-PBE.

The structure belongs to space group Pm-3m (No. 221); the cell edges are 4.4113, 4.4113 and 4.4113 Å and the angles 90.00°, 90.00° and 90.00°. Symmetry generates all atoms from Ti at (0.0000, 0.0000, 0.5000), Be at (0.0000, 0.0000, 0.0000) and Te at (0.5000, 0.5000, 0.5000).

The calculation puts the uncorrected formation energy at 0.28 eV per formula unit. Its density is 5.4 g cm⁻³. The value obtained for the magnetization is 0.00 μB per formula unit.

A relaxed structure of La3CoSn. Source: the Alexandria database, functional GGA-PBE.

The structure belongs to space group P4mm (No. 99); the cell edges are 4.8107, 4.8107 and 8.1630 Å and the angles 90.00°, 90.00° and 90.00°. Symmetry generates all atoms from La at (0.0000, 0.0000, 0.0000), La at (0.0000, 0.5000, 0.6528), Co at (0.5000, 0.5000, 0.8305) and Sn at (0.0000, 0.0000, 0.3828).

Its density is 5.2 g cm⁻³. The formation energy from the elements comes out at 5.277 kcal/mol of atoms. The value obtained for the magnetization is 0.00 μB per formula unit.

A relaxed structure of P2PtPb. Source: the Alexandria database, functional GGA-PBE.

The structure belongs to space group Cmmm (No. 65); the cell edges are 5.8852, 7.1644 and 3.5699 Å and the angles 90.00°, 90.00° and 90.00°. Symmetry generates all atoms from P at (0.2500, 0.2500, 0.0000), Pt at (0.0000, 0.0000, 0.5000) and Pb at (0.0000, 0.5000, 0.5000).

Its density is 10.2 g cm⁻³. The formation energy from the elements comes out at 11.767 kcal/mol of atoms. The value obtained for the magnetization is 0.00 μB per formula unit.

A relaxed structure of ZrCr2Tc. Source: the Alexandria database, functional GGA-PBE.

The structure belongs to space group R3m (No. 160, hexagonal axes); the cell edges are 2.8929, 2.8929 and 25.1159 Å and the angles 90.00°, 90.00° and 120.00°. Symmetry generates all atoms from Zr at (0.0000, 0.0000, 0.0000), Cr at (0.0000, 0.0000, 0.4923), Cr at (0.0000, 0.0000, 0.7592) and Tc at (0.0000, 0.0000, 0.2359).

Its density is 8.0 g cm⁻³. The formation energy from the elements comes out at 8.086 kcal/mol of atoms. The value obtained for the magnetization is 0.00 μB per formula unit.

A relaxed structure of K3InRu. Source: the Alexandria database, functional GGA-PBE.

The structure belongs to space group Pm-3m (No. 221); the cell edges are 6.1164, 6.1164 and 6.1164 Å and the angles 90.00°, 90.00° and 90.00°. Symmetry generates all atoms from K at (0.0000, 0.0000, 0.5000), In at (0.5000, 0.5000, 0.5000) and Ru at (0.0000, 0.0000, 0.0000).

Its density is 2.4 g cm⁻³. The formation energy from the elements comes out at 22.868 kcal/mol of atoms. The value obtained for the magnetization is 1.34 μB per formula unit.

A relaxed structure of Pm6C2O. Source: the Alexandria database, functional GGA-PBE.

The structure belongs to space group Pnnm (No. 58); the cell edges are 6.1098, 6.2940 and 10.9270 Å and the angles 90.00°, 90.00° and 90.00°. Symmetry generates all atoms from Pm at (0.2260, 0.1641, 0.0000), Pm at (0.2431, 0.6631, 0.1653), C at (0.0000, 0.0000, 0.1701) and O at (0.0000, 0.5000, 0.0000).

The calculation puts the uncorrected formation energy at -5.77 eV per formula unit. Its density is 7.2 g cm⁻³. The value obtained for the magnetization is 0.53 μB per formula unit.

A relaxed structure of SiB2. Source: the Alexandria database, functional GGA-PBE.

The structure belongs to space group P3m1 (No. 156); the cell edges are 2.9860, 2.9860 and 3.8644 Å and the angles 90.00°, 90.00° and 120.00°. Symmetry generates all atoms from Si at (0.0000, 0.0000, 0.0000), B at (0.0000, 0.0000, 0.4898) and B at (0.6667, 0.3333, 0.3301).

The calculation puts the uncorrected formation energy at 1.02 eV per formula unit. Its density is 2.8 g cm⁻³. The value obtained for the magnetization is 0.00 μB per formula unit.

A relaxed structure of Sc2AlCoC. Source: the Alexandria database, functional GGA-PBE.

The structure belongs to space group P4/mmm (No. 123); the cell edges are 4.9533, 4.9533 and 3.5624 Å and the angles 90.00°, 90.00° and 90.00°. Symmetry generates all atoms from Sc at (0.0000, 0.5000, 0.0000), Al at (0.0000, 0.0000, 0.5000), Co at (0.5000, 0.5000, 0.0000) and C at (0.5000, 0.5000, 0.5000).

Its density is 3.6 g cm⁻³. The formation energy from the elements comes out at 5.165 kcal/mol of atoms. The value obtained for the magnetization is 0.00 μB per formula unit.

A relaxed structure of Rb2CrPI. Source: the Alexandria database, functional GGA-PBE.

The structure belongs to space group P4/mmm (No. 123); the cell edges are 6.6256, 6.6256 and 5.5887 Å and the angles 90.00°, 90.00° and 90.00°. Symmetry generates all atoms from Rb at (0.0000, 0.5000, 0.0000), Cr at (0.0000, 0.0000, 0.5000), P at (0.5000, 0.5000, 0.0000) and I at (0.5000, 0.5000, 0.5000).

The calculation puts the uncorrected formation energy at 2.57 eV per formula unit. Its density is 2.6 g cm⁻³. The value obtained for the magnetization is 5.95 μB per formula unit.

A relaxed structure of Ru2PtCl. Source: the Alexandria database, functional GGA-PBE.

The structure belongs to space group Imm2 (No. 44); the cell edges are 2.7547, 4.2563 and 11.1027 Å and the angles 90.00°, 90.00° and 90.00°. Symmetry generates all atoms from Ru at (0.0000, 0.0000, 0.0000), Ru at (0.0000, 0.5000, 0.3054), Pt at (0.0000, 0.0000, 0.5755) and Cl at (0.0000, 0.5000, 0.7905).

The calculation puts the uncorrected formation energy at 2.32 eV per formula unit. Its density is 11.0 g cm⁻³. The value obtained for the magnetization is 0.00 μB per formula unit.

no.,E_tot (eV per atom)
1,-7.28
2,-5.06
3,-5.50
4,-2.11
5,-7.80
6,-4.82
7,-4.54
8,-4.54
9,-4.44
10,-6.10
11,-4.95
12,-3.69
13,-2.79
14,-5.27
15,-3.33
16,-6.61
17,-6.05
18,-4.95
19,-4.63
20,-9.19
21,-2.07
22,-6.41
23,-5.92
24,-6.32
25,-3.19
26,-6.03